## Sc3GaPd2 (GGA-PBE)

Data for a geometry-optimized Sc3GaPd2 structure.

Cell and atoms, written as CIF:
```
data_Sc3GaPd2
_cell_length_a 3.2786
_cell_length_b 3.2786
_cell_length_c 10.2739
_cell_angle_alpha 90.00
_cell_angle_beta 90.00
_cell_angle_gamma 90.00
_symmetry_space_group_name_H-M 'P 4/m m m'
_symmetry_Int_Tables_number 123
_symmetry_space_group_name_Hall '-P 4 2'
loop_
_atom_site_label
_atom_site_fract_x
_atom_site_fract_y
_atom_site_fract_z
Sc1 0.0000 0.0000 0.0000
Sc2 0.0000 0.0000 0.3289
Ga1 0.5000 0.5000 0.5000
Pd1 0.5000 0.5000 0.1677
```

Computed properties:
Formation energy from the elements (eV/atom): -0.81
Density of states at the Fermi level (states/eV/f.u.): 2.44

## SbTe2Ru (GGA-PBE)

Data for a geometry-optimized SbTe2Ru structure.

Cell and atoms, written as CIF:
```
data_SbTe2Ru
_cell_length_a 3.4913
_cell_length_b 5.0205
_cell_length_c 5.1926
_cell_angle_alpha 90.00
_cell_angle_beta 90.00
_cell_angle_gamma 90.00
_symmetry_space_group_name_H-M 'P m m m'
_symmetry_Int_Tables_number 47
_symmetry_space_group_name_Hall '-P 2 2'
loop_
_atom_site_label
_atom_site_fract_x
_atom_site_fract_y
_atom_site_fract_z
Sb1 0.0000 0.0000 0.0000
Te1 0.0000 0.5000 0.5000
Te2 0.5000 0.5000 0.0000
Ru1 0.5000 0.0000 0.5000
```

Computed properties:
E (eV/atom): -4.29
Density of states at the Fermi level (states/eV/f.u.): 4.35